1.
# BaNb3Hg PBE relaxed
data_BaNb3Hg
_chemical_formula_sum 'Ba1 Nb3 Hg1'
_symmetry_space_group_name_H-M 'P 1'
_symmetry_Int_Tables_number 1
_cell_length_a 5.296
_cell_length_b 5.296
_cell_length_c 5.296
_cell_angle_alpha 90.00
_cell_angle_beta 90.00
_cell_angle_gamma 90.00
loop_
_symmetry_equiv_pos_as_xyz
'x,y,z'
loop_
_atom_site_label
_atom_site_fract_x
_atom_site_fract_y
_atom_site_fract_z
Ba1 0.000 0.000 0.000
Nb1 0.000 0.500 0.500
Nb2 0.500 0.000 0.500
Nb3 0.500 0.500 0.000
Hg1 0.500 0.500 0.500
# Raw total energy: -4.819 eV per atom
# Fermi-level density of states: 7.1 states/eV/f.u.
# Relative energy among the computed polymorphs: 0 meV/atom



2.
# KZrW2 PBE relaxed
data_KZrW2
_chemical_formula_sum 'K1 Zr1 W2'
_symmetry_space_group_name_H-M 'P 1'
_symmetry_Int_Tables_number 1
_cell_length_a 3.668
_cell_length_b 3.668
_cell_length_c 7.901
_cell_angle_alpha 90.00
_cell_angle_beta 90.00
_cell_angle_gamma 90.00
loop_
_symmetry_equiv_pos_as_xyz
'x,y,z'
loop_
_atom_site_label
_atom_site_fract_x
_atom_site_fract_y
_atom_site_fract_z
K1 0.000 0.000 0.000
Zr1 0.000 0.000 0.500
W1 0.500 0.500 0.350
W2 0.500 0.500 0.650
# Raw total energy: -7.835 eV per atom
# Fermi-level density of states: 4.5 states/eV/f.u.
# Relative energy among the computed polymorphs: 369 meV/atom



3.
# KLaTlCd PBE relaxed
data_KLaTlCd
_chemical_formula_sum 'K4 La4 Tl4 Cd4'
_symmetry_space_group_name_H-M 'P 1'
_symmetry_Int_Tables_number 1
_cell_length_a 8.042
_cell_length_b 8.042
_cell_length_c 8.042
_cell_angle_alpha 90.00
_cell_angle_beta 90.00
_cell_angle_gamma 90.00
loop_
_symmetry_equiv_pos_as_xyz
'x,y,z'
loop_
_atom_site_label
_atom_site_fract_x
_atom_site_fract_y
_atom_site_fract_z
K1 0.000 0.000 0.000
K2 0.000 0.500 0.500
K3 0.500 0.000 0.500
K4 0.500 0.500 0.000
La1 0.000 0.000 0.500
La2 0.000 0.500 0.000
La3 0.500 0.000 0.000
La4 0.500 0.500 0.500
Tl1 0.250 0.250 0.250
Tl2 0.250 0.750 0.750
Tl3 0.750 0.250 0.750
Tl4 0.750 0.750 0.250
Cd1 0.250 0.250 0.750
Cd2 0.250 0.750 0.250
Cd3 0.750 0.250 0.250
Cd4 0.750 0.750 0.750
# Raw total energy: -2.441 eV per atom
# Fermi-level density of states: 4.2 states/eV/f.u.



4.
# Nd5Ho3Cd2 PBE relaxed
data_Nd5Ho3Cd2
_chemical_formula_sum 'Nd10 Ho6 Cd4'
_symmetry_space_group_name_H-M 'P 1'
_symmetry_Int_Tables_number 1
_cell_length_a 12.127
_cell_length_b 12.127
_cell_length_c 12.127
_cell_angle_alpha 139.63
_cell_angle_beta 53.49
_cell_angle_gamma 146.42
loop_
_symmetry_equiv_pos_as_xyz
'x,y,z'
loop_
_atom_site_label
_atom_site_fract_x
_atom_site_fract_y
_atom_site_fract_z
Nd1 0.086 0.750 0.336
Nd2 0.216 0.167 0.384
Nd3 0.250 0.250 0.000
Nd4 0.284 0.667 0.951
Nd5 0.414 0.750 0.664
Nd6 0.586 0.250 0.336
Nd7 0.716 0.333 0.049
Nd8 0.750 0.750 0.000
Nd9 0.784 0.833 0.616
Nd10 0.914 0.250 0.664
Ho1 0.120 0.820 0.940
Ho2 0.250 0.750 0.500
Ho3 0.380 0.320 0.700
Ho4 0.620 0.680 0.300
Ho5 0.750 0.250 0.500
Ho6 0.880 0.180 0.060
Cd1 0.075 0.247 0.323
Cd2 0.425 0.747 0.172
Cd3 0.575 0.253 0.828
Cd4 0.925 0.753 0.677
# Raw total energy: -3.923 eV per atom
# Fermi-level density of states: 11.4 states/eV/f.u.



5.
# Rb2Na2Li PBE relaxed
data_Rb2Na2Li
_chemical_formula_sum 'Rb4 Na4 Li2'
_symmetry_space_group_name_H-M 'P 1'
_symmetry_Int_Tables_number 1
_cell_length_a 8.976
_cell_length_b 8.976
_cell_length_c 6.606
_cell_angle_alpha 90.00
_cell_angle_beta 90.00
_cell_angle_gamma 90.00
loop_
_symmetry_equiv_pos_as_xyz
'x,y,z'
loop_
_atom_site_label
_atom_site_fract_x
_atom_site_fract_y
_atom_site_fract_z
Rb1 0.181 0.319 0.000
Rb2 0.319 0.819 0.000
Rb3 0.681 0.181 0.000
Rb4 0.819 0.681 0.000
Na1 0.141 0.641 0.500
Na2 0.359 0.141 0.500
Na3 0.641 0.859 0.500
Na4 0.859 0.359 0.500
Li1 0.000 0.000 0.500
Li2 0.500 0.500 0.500
# Raw total energy: -1.193 eV per atom
# Fermi-level density of states: 2.9 states/eV/f.u.
# Relative energy among the computed polymorphs: 0 meV/atom



6.
# NbTlCdOs2 PBE relaxed
data_NbTlCdOs2
_chemical_formula_sum 'Nb1 Tl1 Cd1 Os2'
_symmetry_space_group_name_H-M 'P 1'
_symmetry_Int_Tables_number 1
_cell_length_a 4.934
_cell_length_b 4.934
_cell_length_c 4.890
_cell_angle_alpha 90.00
_cell_angle_beta 90.00
_cell_angle_gamma 90.00
loop_
_symmetry_equiv_pos_as_xyz
'x,y,z'
loop_
_atom_site_label
_atom_site_fract_x
_atom_site_fract_y
_atom_site_fract_z
Nb1 0.000 0.000 0.000
Tl1 0.500 0.500 0.500
Cd1 0.500 0.500 0.000
Os1 0.000 0.500 0.500
Os2 0.500 0.000 0.500
# Raw total energy: -4.592 eV per atom
# Fermi-level density of states: 9.1 states/eV/f.u.



7.
# Li3SbH PBE relaxed
data_Li3SbH
_chemical_formula_sum 'Li6 Sb2 H2'
_symmetry_space_group_name_H-M 'P 1'
_symmetry_Int_Tables_number 1
_cell_length_a 6.105
_cell_length_b 6.105
_cell_length_c 6.105
_cell_angle_alpha 88.10
_cell_angle_beta 120.43
_cell_angle_gamma 121.78
loop_
_symmetry_equiv_pos_as_xyz
'x,y,z'
loop_
_atom_site_label
_atom_site_fract_x
_atom_site_fract_y
_atom_site_fract_z
Li1 0.228 0.994 0.734
Li2 0.246 0.004 0.250
Li3 0.246 0.496 0.743
Li4 0.260 0.494 0.266
Li5 0.754 0.504 0.257
Li6 0.754 0.996 0.750
Sb1 0.718 0.003 0.215
Sb2 0.788 0.503 0.785
H1 0.357 0.310 0.547
H2 0.763 0.810 0.453
# Raw total energy: -2.863 eV per atom
# Fermi-level density of states: 0.6 states/eV/f.u.
# Relative energy among the computed polymorphs: 233 meV/atom



8.
# KCdCl3O PBE relaxed
data_KCdCl3O
_chemical_formula_sum 'K4 Cd4 Cl12 O4'
_symmetry_space_group_name_H-M 'P 1'
_symmetry_Int_Tables_number 1
_cell_length_a 8.172
_cell_length_b 4.156
_cell_length_c 20.559
_cell_angle_alpha 90.00
_cell_angle_beta 90.00
_cell_angle_gamma 90.00
loop_
_symmetry_equiv_pos_as_xyz
'x,y,z'
loop_
_atom_site_label
_atom_site_fract_x
_atom_site_fract_y
_atom_site_fract_z
K1 0.158 0.250 0.203
K2 0.342 0.750 0.703
K3 0.658 0.250 0.297
K4 0.842 0.750 0.797
Cd1 0.056 0.750 0.405
Cd2 0.444 0.250 0.905
Cd3 0.556 0.750 0.095
Cd4 0.944 0.250 0.595
Cl1 0.053 0.250 0.712
Cl2 0.116 0.750 0.560
Cl3 0.195 0.750 0.857
Cl4 0.305 0.250 0.357
Cl5 0.384 0.250 0.060
Cl6 0.447 0.750 0.212
Cl7 0.553 0.250 0.788
Cl8 0.616 0.750 0.940
Cl9 0.695 0.750 0.643
Cl10 0.805 0.250 0.143
Cl11 0.884 0.250 0.440
Cl12 0.947 0.750 0.288
O1 0.182 0.250 0.929
O2 0.318 0.750 0.429
O3 0.682 0.250 0.571
O4 0.818 0.750 0.071
# Raw total energy: -2.884 eV per atom
# Formation energy without anion corrections: -0.7991 eV per atom



9.
# Er2Cd3Ag2 PBE relaxed
data_Er2Cd3Ag2
_chemical_formula_sum 'Er4 Cd6 Ag4'
_symmetry_space_group_name_H-M 'P 1'
_symmetry_Int_Tables_number 1
_cell_length_a 9.962
_cell_length_b 4.645
_cell_length_c 7.319
_cell_angle_alpha 90.00
_cell_angle_beta 109.98
_cell_angle_gamma 90.00
loop_
_symmetry_equiv_pos_as_xyz
'x,y,z'
loop_
_atom_site_label
_atom_site_fract_x
_atom_site_fract_y
_atom_site_fract_z
Er1 0.136 0.000 0.273
Er2 0.364 0.500 0.727
Er3 0.636 0.500 0.273
Er4 0.864 0.000 0.727
Cd1 0.000 0.500 0.500
Cd2 0.121 0.500 0.933
Cd3 0.379 0.000 0.067
Cd4 0.500 0.000 0.500
Cd5 0.621 0.000 0.933
Cd6 0.879 0.500 0.067
Ag1 0.160 0.000 0.697
Ag2 0.340 0.500 0.303
Ag3 0.660 0.500 0.697
Ag4 0.840 0.000 0.303
# Raw total energy: -2.768 eV per atom
# Fermi-level density of states: 4.3 states/eV/f.u.
# Relative energy among the computed polymorphs: 0 meV/atom



10.
# FeCu2Br6 PBE relaxed
data_FeCu2Br6
_chemical_formula_sum 'Fe2 Cu4 Br12'
_symmetry_space_group_name_H-M 'P 1'
_symmetry_Int_Tables_number 1
_cell_length_a 9.841
_cell_length_b 9.841
_cell_length_c 6.772
_cell_angle_alpha 106.70
_cell_angle_beta 106.70
_cell_angle_gamma 91.99
loop_
_symmetry_equiv_pos_as_xyz
'x,y,z'
loop_
_atom_site_label
_atom_site_fract_x
_atom_site_fract_y
_atom_site_fract_z
Fe1 0.205 0.795 0.750
Fe2 0.795 0.205 0.250
Cu1 0.220 0.362 0.618
Cu2 0.362 0.220 0.118
Cu3 0.638 0.780 0.882
Cu4 0.780 0.638 0.382
Br1 0.008 0.790 0.448
Br2 0.185 0.590 0.860
Br3 0.210 0.992 0.052
Br4 0.250 0.401 0.302
Br5 0.401 0.250 0.802
Br6 0.410 0.815 0.640
Br7 0.590 0.185 0.360
Br8 0.599 0.750 0.198
Br9 0.750 0.599 0.698
Br10 0.790 0.008 0.948
Br11 0.815 0.410 0.140
Br12 0.992 0.210 0.552
# Raw total energy: -3.344 eV per atom
# Fermi-level density of states: 8.0 states/eV/f.u.
# Formation energy without anion corrections: -0.3784 eV per atom



11.
# TeRuSe2 PBE relaxed
data_TeRuSe2
_chemical_formula_sum 'Te3 Ru3 Se6'
_symmetry_space_group_name_H-M 'P 1'
_symmetry_Int_Tables_number 1
_cell_length_a 3.487
_cell_length_b 3.487
_cell_length_c 25.443
_cell_angle_alpha 90.00
_cell_angle_beta 90.00
_cell_angle_gamma 120.00
loop_
_symmetry_equiv_pos_as_xyz
'x,y,z'
loop_
_atom_site_label
_atom_site_fract_x
_atom_site_fract_y
_atom_site_fract_z
Te1 0.000 0.000 0.000
Te2 0.333 0.667 0.667
Te3 0.667 0.333 0.333
Ru1 0.000 0.000 0.500
Ru2 0.333 0.667 0.167
Ru3 0.667 0.333 0.833
Se1 0.000 0.000 0.225
Se2 0.000 0.000 0.775
Se3 0.333 0.667 0.442
Se4 0.333 0.667 0.891
Se5 0.667 0.333 0.109
Se6 0.667 0.333 0.558
# Raw total energy: -4.847 eV per atom
# Fermi-level density of states: 3.6 states/eV/f.u.
# Formation energy without anion corrections: 0.0001 eV per atom



12.
# TlAg2Os PBE relaxed
data_TlAg2Os
_chemical_formula_sum 'Tl1 Ag2 Os1'
_symmetry_space_group_name_H-M 'P 1'
_symmetry_Int_Tables_number 1
_cell_length_a 2.842
_cell_length_b 4.491
_cell_length_c 5.749
_cell_angle_alpha 90.00
_cell_angle_beta 90.00
_cell_angle_gamma 90.00
loop_
_symmetry_equiv_pos_as_xyz
'x,y,z'
loop_
_atom_site_label
_atom_site_fract_x
_atom_site_fract_y
_atom_site_fract_z
Tl1 0.000 0.000 0.000
Ag1 0.500 0.500 0.267
Ag2 0.500 0.500 0.733
Os1 0.000 0.000 0.500
# Raw total energy: -4.094 eV per atom
# Fermi-level density of states: 2.7 states/eV/f.u.
# Relative energy among the computed polymorphs: 96 meV/atom